Entry 1:
DFT (PBE) results for a relaxed structure of TbSm3Mg3.

abc: 7.815 7.815 7.021
angles: 90.00 90.00 92.99
Fractional positions:
Tb 0.187 0.187 0.000
Tb 0.813 0.813 0.000
Sm 0.000 0.500 0.254
Sm 0.000 0.500 0.746
Sm 0.500 0.000 0.254
Sm 0.500 0.000 0.746
Sm 0.500 0.500 0.246
Sm 0.500 0.500 0.754
Mg 0.174 0.826 0.500
Mg 0.225 0.225 0.500
Mg 0.245 0.755 0.000
Mg 0.755 0.245 0.000
Mg 0.775 0.775 0.500
Mg 0.826 0.174 0.500

Computed properties:
Space-group type = No. 65
DFT formation energy = 0.07 eV/atom
Energy above the most stable polymorph in this dataset = 0 meV per atom
VASP energy = -46.140 eV/cell

***

Entry 2:
DFT (PBE) results for a relaxed structure of Tb4Sm5Mg2.

abc: 11.380 11.380 8.788
angles: 93.71 93.71 17.90
Fractional positions:
Tb 0.073 0.073 0.218
Tb 0.289 0.289 0.679
Tb 0.711 0.711 0.321
Tb 0.927 0.927 0.782
Sm 0.132 0.132 0.598
Sm 0.183 0.183 0.974
Sm 0.500 0.500 0.500
Sm 0.817 0.817 0.026
Sm 0.868 0.868 0.402
Mg 0.446 0.446 0.121
Mg 0.554 0.554 0.879

Computed properties:
Space-group type = No. 12
DFT formation energy = 0.05 eV/atom
Energy above the most stable polymorph in this dataset = 0 meV per atom
VASP energy = -44.710 eV/cell

***

Entry 3:
DFT (PBE) results for a relaxed structure of Tb7Sm3Mg.

abc: 7.026 7.026 8.622
angles: 90.00 90.00 120.00
Fractional positions:
Tb 0.000 0.000 0.000
Tb 0.000 0.500 0.004
Tb 0.164 0.328 0.328
Tb 0.164 0.836 0.328
Tb 0.500 0.000 0.004
Tb 0.500 0.500 0.004
Tb 0.672 0.836 0.328
Sm 0.330 0.165 0.668
Sm 0.835 0.165 0.668
Sm 0.835 0.670 0.668
Mg 0.667 0.333 0.327

Computed properties:
Space-group type = No. 156
DFT formation energy = 0.18 eV/atom
VASP energy = -46.149 eV/cell

***

Entry 4:
DFT (PBE) results for a relaxed structure of Tb2Sm7Mg.

abc: 9.203 9.203 5.556
angles: 90.00 90.00 123.10
Fractional positions:
Tb 0.207 0.793 0.000
Tb 0.793 0.207 0.000
Sm 0.000 0.000 0.000
Sm 0.213 0.431 0.000
Sm 0.283 0.717 0.500
Sm 0.431 0.213 0.000
Sm 0.569 0.787 0.000
Sm 0.717 0.283 0.500
Sm 0.787 0.569 0.000
Mg 0.500 0.500 0.500

Computed properties:
Space-group type = No. 65
DFT formation energy = 0.62 eV/atom
VASP energy = -37.688 eV/cell

***

Entry 5:
DFT (PBE) results for a relaxed structure of Tb15Sm2Mg2.

abc: 8.633 8.633 8.633
angles: 81.00 81.00 81.00
Fractional positions:
Tb 0.000 0.000 0.500
Tb 0.000 0.296 0.704
Tb 0.000 0.500 0.000
Tb 0.000 0.704 0.296
Tb 0.150 0.638 0.638
Tb 0.296 0.000 0.704
Tb 0.296 0.704 0.000
Tb 0.362 0.362 0.850
Tb 0.362 0.850 0.362
Tb 0.500 0.000 0.000
Tb 0.638 0.150 0.638
Tb 0.638 0.638 0.150
Tb 0.704 0.000 0.296
Tb 0.704 0.296 0.000
Tb 0.850 0.362 0.362
Sm 0.325 0.325 0.325
Sm 0.675 0.675 0.675
Mg 0.093 0.093 0.093
Mg 0.907 0.907 0.907

Computed properties:
Space-group type = No. 166
DFT formation energy = 0.22 eV/atom
VASP energy = -77.916 eV/cell

***

Entry 6:
DFT (PBE) results for a relaxed structure of Tb5Sm6Mg2.

abc: 10.481 22.768 3.547
angles: 90.00 90.00 90.00
Fractional positions:
Tb 0.000 0.000 0.000
Tb 0.081 0.251 0.000
Tb 0.166 0.506 0.000
Tb 0.334 0.006 0.000
Tb 0.419 0.751 0.000
Tb 0.500 0.500 0.000
Tb 0.581 0.249 0.000
Tb 0.666 0.994 0.000
Tb 0.834 0.494 0.000
Tb 0.919 0.749 0.000
Sm 0.018 0.387 0.500
Sm 0.145 0.118 0.500
Sm 0.169 0.866 0.000
Sm 0.331 0.366 0.000
Sm 0.355 0.618 0.500
Sm 0.482 0.887 0.500
Sm 0.518 0.113 0.500
Sm 0.645 0.382 0.500
Sm 0.669 0.634 0.000
Sm 0.831 0.134 0.000
Sm 0.855 0.882 0.500
Sm 0.982 0.613 0.500
Mg 0.169 0.739 0.500
Mg 0.331 0.239 0.500
Mg 0.669 0.761 0.500
Mg 0.831 0.261 0.500

Computed properties:
Space-group type = No. 55
DFT formation energy = 0.13 eV/atom
VASP energy = -105.913 eV/cell

***

Entry 7:
DFT (PBE) results for a relaxed structure of TbSmMg.

abc: 4.641 4.641 4.641
angles: 76.65 76.65 76.65
Fractional positions:
Tb 0.000 0.000 0.000
Sm 0.370 0.370 0.370
Mg 0.687 0.687 0.687

Computed properties:
Space-group type = No. 160
DFT formation energy = 0.29 eV/atom
Energy above the most stable polymorph in this dataset = 352 meV per atom
VASP energy = -10.062 eV/cell

***

Entry 8:
DFT (PBE) results for a relaxed structure of Tb5SmMg.

abc: 6.601 6.601 13.282
angles: 94.73 94.73 49.19
Fractional positions:
Tb 0.064 0.064 0.131
Tb 0.065 0.065 0.632
Tb 0.242 0.242 0.426
Tb 0.242 0.242 0.927
Tb 0.363 0.363 0.196
Tb 0.637 0.637 0.804
Tb 0.758 0.758 0.073
Tb 0.758 0.758 0.574
Tb 0.935 0.935 0.368
Tb 0.936 0.936 0.869
Sm 0.364 0.364 0.696
Sm 0.636 0.636 0.304
Mg 0.500 0.500 0.000
Mg 0.500 0.500 0.500

Computed properties:
Space-group type = No. 12
DFT formation energy = 0.02 eV/atom
Energy above the most stable polymorph in this dataset = 0 meV per atom
VASP energy = -58.679 eV/cell

***

Entry 9:
DFT (PBE) results for a relaxed structure of Tb2Sm7Mg2.

abc: 8.128 8.128 5.809
angles: 105.56 105.56 86.59
Fractional positions:
Tb 0.221 0.779 0.000
Tb 0.779 0.221 0.000
Sm 0.000 0.000 0.500
Sm 0.015 0.600 0.314
Sm 0.231 0.231 0.162
Sm 0.400 0.985 0.686
Sm 0.600 0.015 0.314
Sm 0.769 0.769 0.838
Sm 0.985 0.400 0.686
Mg 0.438 0.438 0.719
Mg 0.562 0.562 0.281

Computed properties:
Space-group type = No. 12
DFT formation energy = 0.14 eV/atom
Energy above the most stable polymorph in this dataset = 76 meV per atom
VASP energy = -43.894 eV/cell

***

Entry 10:
DFT (PBE) results for a relaxed structure of Tb6Sm12Mg.

abc: 8.595 8.595 8.595
angles: 88.79 88.79 88.79
Fractional positions:
Tb 0.208 0.598 0.760
Tb 0.240 0.792 0.402
Tb 0.402 0.240 0.792
Tb 0.598 0.760 0.208
Tb 0.760 0.208 0.598
Tb 0.792 0.402 0.240
Sm 0.038 0.282 0.933
Sm 0.067 0.962 0.718
Sm 0.136 0.316 0.484
Sm 0.282 0.933 0.038
Sm 0.316 0.484 0.136
Sm 0.484 0.136 0.316
Sm 0.516 0.864 0.684
Sm 0.684 0.516 0.864
Sm 0.718 0.067 0.962
Sm 0.864 0.684 0.516
Sm 0.933 0.038 0.282
Sm 0.962 0.718 0.067
Mg 0.500 0.500 0.500

Computed properties:
Space-group type = No. 148
DFT formation energy = 0.13 eV/atom
Energy above the most stable polymorph in this dataset = 0 meV per atom
VASP energy = -83.624 eV/cell

***

Entry 11:
DFT (PBE) results for a relaxed structure of Tb4SmMg3.

abc: 3.776 5.501 11.121
angles: 90.00 90.00 90.00
Fractional positions:
Tb 0.000 0.000 0.000
Tb 0.000 0.000 0.500
Tb 0.000 0.500 0.236
Tb 0.000 0.500 0.764
Sm 0.500 0.500 0.500
Mg 0.500 0.000 0.248
Mg 0.500 0.000 0.752
Mg 0.500 0.500 0.000

Computed properties:
Space-group type = No. 47
DFT formation energy = -0.01 eV/atom
VASP energy = -28.108 eV/cell

***

Entry 12:
DFT (PBE) results for a relaxed structure of TbSm4Mg5.

abc: 3.832 3.832 19.247
angles: 90.00 90.00 90.00
Fractional positions:
Tb 0.000 0.000 0.000
Sm 0.000 0.000 0.198
Sm 0.000 0.000 0.399
Sm 0.000 0.000 0.601
Sm 0.000 0.000 0.802
Mg 0.500 0.500 0.097
Mg 0.500 0.500 0.299
Mg 0.500 0.500 0.500
Mg 0.500 0.500 0.701
Mg 0.500 0.500 0.903

Computed properties:
Space-group type = No. 123
DFT formation energy = -0.10 eV/atom
VASP energy = -32.455 eV/cell

***

Question: Look up the VASP energy of the second one.
Answer: -44.710 eV/cell

***

Question: DFT formation energy of number 4 (Tb2Sm7Mg)?
Answer: 0.62 eV/atom

***

Question: Which of these has the highest VASP energy?
Answer: TbSmMg

***

Question: What is the DFT formation energy in the second record?
Answer: 0.05 eV/atom